This record from Alexandria describes a crystal of SrMn2CrSb relaxed with PBEsol. The functional is meta-GGA SCAN.

Output
VASP energy in eV/atom: -22.486

abc: 5.025 5.025 5.135
angles: 90.00 90.00 90.00
Fractional positions:
Sr (0.000, 0.000, 0.000)
Mn (0.000, 0.500, 0.500)
Mn (0.500, 0.000, 0.500)
Cr (0.500, 0.500, 0.000)
Sb (0.500, 0.500, 0.500)